Record 1
## KPb3 (PBE-GGA)

Data for an optimized crystal structure of KPb3.

Structure (CIF):
```
data_KPb3
_cell_length_a 6.857
_cell_length_b 6.857
_cell_length_c 6.128
_cell_angle_alpha 90.00
_cell_angle_beta 90.00
_cell_angle_gamma 95.09
_space_group_name_H-M_alt 'P 1'
_space_group_IT_number 1
loop_
_space_group_symop_operation_xyz
'x,y,z'
loop_
_atom_site_label
_atom_site_type_symbol
_atom_site_fract_x
_atom_site_fract_y
_atom_site_fract_z
K1 K 0.068 0.932 0.750
K2 K 0.932 0.068 0.250
Pb1 Pb 0.116 0.549 0.250
Pb2 Pb 0.421 0.579 0.750
Pb3 Pb 0.451 0.884 0.250
Pb4 Pb 0.549 0.116 0.750
Pb5 Pb 0.579 0.421 0.250
Pb6 Pb 0.884 0.451 0.750
```

Summary:
E, eV/f.u.: -12.258

=====

Record 2
## ZnAs2 (PBE-GGA)

Data for an optimized crystal structure of ZnAs2.

Structure (CIF):
```
data_ZnAs2
_cell_length_a 7.544
_cell_length_b 7.544
_cell_length_c 7.544
_cell_angle_alpha 158.55
_cell_angle_beta 158.55
_cell_angle_gamma 30.52
_space_group_name_H-M_alt 'P 1'
_space_group_IT_number 1
loop_
_space_group_symop_operation_xyz
'x,y,z'
loop_
_atom_site_label
_atom_site_type_symbol
_atom_site_fract_x
_atom_site_fract_y
_atom_site_fract_z
Zn1 Zn 0.000 0.000 0.000
As1 As 0.356 0.356 0.000
As2 As 0.644 0.644 0.000
```

Summary:
E, eV/f.u.: -9.660